VASP calculation (PBE-GGA) on a geometry-optimized CaYCo2 structure.

Calculated values
relative energy among the computed polymorphs: 3.08 kcal/mol of atoms
formation energy: 2.6 kcal/mol of atoms
Fermi-level density of states: 0.97 states/eV per atom
M_tot: 1.87 μB/cell
VASP energy: -0.204 Ha/atom

Lattice parameters (Å, degrees): 6.442 6.442 6.442 146.31 141.69 51.92
Each line ends with the local moment (μB).
Element x y z (fractional)
Ca: 0.237 0.737 0.500  -0.04
Y: 0.496 0.496 0.000  -0.18
Co: 0.834 0.334 0.500  1.21
Co: 0.933 0.933 0.000  1.12